Record 1
Sm2Gd2CI5: relaxed, PBE-GGA.

a = 9.8174 Å, b = 9.8174 Å, c = 8.7164 Å
α = 102.49°, β = 102.49°, γ = 23.57°
Last column: nearest neighbours and their distance in Å.
Atoms (fractional coordinates):
I 0.1675 0.1675 0.8180  2 Sm 3.14, 1 Gd 3.19
I 0.5000 0.5000 0.5000  4 Gd 3.36
I 0.8325 0.8325 0.1820  2 Sm 3.14, 1 Gd 3.19
Gd 0.0008 0.0008 0.8100  2 C 2.60
Sm 0.6320 0.6320 0.0666  1 C 2.47
C 0.5000 0.5000 0.0000  2 Sm 2.47, 4 Gd 2.60
Gd 0.9992 0.9992 0.1900  2 C 2.60
I 0.1624 0.1624 0.3456  2 Sm 3.11, 1 Gd 3.13
I 0.8376 0.8376 0.6544  2 Sm 3.11, 1 Gd 3.13
Sm 0.3680 0.3680 0.9334  1 C 2.47

Output
Crystal system = monoclinic
M_tot = 0.01 μB/cell
Relative energy among the computed polymorphs = 3 kJ/mol of formula units
Space group = C2/m, No. 12

---

Record 2
Sm2Gd2CI5: relaxed, PBE-GGA.

a = 10.1686 Å, b = 10.1686 Å, c = 8.7231 Å
α = 102.09°, β = 102.09°, γ = 22.85°
Last column: nearest neighbours and their distance in Å.
Atoms (fractional coordinates):
Gd 0.6245 0.6245 0.0622  1 C 2.43
I 0.1631 0.1631 0.8249  2 Gd 3.10, 1 Sm 3.21
Sm 0.0006 0.0006 0.8066  2 C 2.63
Gd 0.3755 0.3755 0.9378  1 C 2.43
I 0.8399 0.8399 0.6646  2 Gd 3.09, 1 Sm 3.18
C 0.5000 0.5000 0.0000  2 Gd 2.43, 4 Sm 2.63
Sm 0.9994 0.9994 0.1934  2 C 2.63
I 0.8369 0.8369 0.1751  2 Gd 3.10, 1 Sm 3.21
I 0.1601 0.1601 0.3354  2 Gd 3.09, 1 Sm 3.18
I 0.5000 0.5000 0.5000  4 Sm 3.35

Output
Crystal system = monoclinic
M_tot = 0.26 μB/cell
Relative energy among the computed polymorphs = 0 kJ/mol of formula units
Space group = C2/m, No. 12

---

Record 3
TbGdC2I2: relaxed, PBE-GGA.

a = 4.1749 Å, b = 4.1749 Å, c = 11.3268 Å
α = 92.86°, β = 92.86°, γ = 56.36°
Last column: nearest neighbours and their distance in Å.
Atoms (fractional coordinates):
C 0.5775 0.5775 0.4724  1 C 1.33
C 0.4228 0.4228 0.5270  1 C 1.33
I 0.1763 0.1763 0.1910  3 Tb 3.12-3.26
Gd 0.1457 0.1457 0.6229  3 C 2.36-2.64
Tb 0.8539 0.8539 0.3773  3 C 2.36-2.63
I 0.8238 0.8238 0.8093  3 Gd 3.12-3.26

Output
Crystal system = monoclinic
M_tot = 0.01 μB/cell
Total energy = -36.00 eV/cell
Space group = Cm, No. 8

---

Record 4
Gd4TeC2I: relaxed, PBE-GGA.

a = 3.8472 Å, b = 3.8472 Å, c = 14.5657 Å
α = 90.00°, β = 90.00°, γ = 120.00°
Last column: nearest neighbours and their distance in Å.
Atoms (fractional coordinates):
C 0.3333 0.6667 0.7506  6 Gd 2.52-2.65
Gd 0.6667 0.3333 0.6691  3 C 2.52
C 0.3333 0.6667 0.2494  6 Gd 2.52-2.65
Gd 0.0000 0.0000 0.1508  3 C 2.65
I 0.0000 0.0000 0.5000  6 Gd 3.32
Gd 0.0000 0.0000 0.8492  3 C 2.65
Gd 0.6667 0.3333 0.3309  3 C 2.52
Te 0.6667 0.3333 0.0000  6 Gd 3.12

Output
Crystal system = hexagonal
M_tot = 0.00 μB/cell
Total energy = -48.19 eV/cell
Space group = P-6m2, No. 187

---

Record 5
GdTmC2I2: relaxed, PBE-GGA.

a = 4.1386 Å, b = 4.1386 Å, c = 11.2393 Å
α = 92.96°, β = 92.96°, γ = 56.03°
Last column: nearest neighbours and their distance in Å.
Atoms (fractional coordinates):
C 0.4224 0.4224 0.5236  1 C 1.33
I 0.1770 0.1770 0.1942  3 Tm 3.07-3.24
C 0.5777 0.5777 0.4677  1 C 1.33
Tm 0.8537 0.8537 0.3792  3 C 2.30-2.56
Gd 0.1445 0.1445 0.6225  3 C 2.37-2.64
I 0.8247 0.8247 0.8128  3 Gd 3.12-3.26

Output
Crystal system = monoclinic
M_tot = 0.01 μB/cell
Total energy = -35.75 eV/cell
Space group = Cm, No. 8

---

Record 6
Gd2Y2CI5: relaxed, PBE-GGA.

a = 9.7935 Å, b = 9.7935 Å, c = 8.6375 Å
α = 102.35°, β = 102.35°, γ = 23.49°
Last column: nearest neighbours and their distance in Å.
Atoms (fractional coordinates):
Gd 0.0006 0.0006 0.8083  2 C 2.59
Gd 0.9994 0.9994 0.1917  2 C 2.59
I 0.5000 0.5000 0.5000  4 Gd 3.32
I 0.8362 0.8362 0.6606  2 Y 3.06, 1 Gd 3.13
I 0.8323 0.8323 0.1770  2 Y 3.09, 1 Gd 3.18
Y 0.6290 0.6290 0.0642  1 C 2.41
I 0.1638 0.1638 0.3394  2 Y 3.06, 1 Gd 3.13
I 0.1677 0.1677 0.8230  2 Y 3.09, 1 Gd 3.18
Y 0.3710 0.3710 0.9358  1 C 2.41
C 0.5000 0.5000 0.0000  2 Y 2.41, 4 Gd 2.59

Output
Crystal system = monoclinic
M_tot = 0.00 μB/cell
Relative energy among the computed polymorphs = 0 kJ/mol of formula units
Space group = C2/m, No. 12

---

| no. | V (Å³/cell) |
| --- | --- |
| 1 | 327.6 |
| 2 | 342.1 |
| 3 | 164.1 |
| 4 | 186.7 |
| 5 | 159.4 |
| 6 | 322.2 |